## HoHfSnC (PBE-GGA)

Data for a relaxed structure of HoHfSnC.

**Energy relative to the lowest polymorph listed for this composition**: 0.0000 eV per atom

Cell: 3.4435 3.4435 15.1650 Å, 90.00 90.00 120.00°
Sites, in units of the cell vectors:
Ho 0.3333 0.6667 0.0000
Ho 0.6667 0.3333 0.5000
Hf 0.3333 0.6667 0.6695
Hf 0.6667 0.3333 0.1695
Sn 0.3333 0.6667 0.3284
Sn 0.6667 0.3333 0.8284
C 0.0000 0.0000 0.0960
C 0.0000 0.0000 0.5960

---

## HoHfTeC (PBE-GGA)

Data for a relaxed structure of HoHfTeC.

**Energy relative to the lowest polymorph listed for this composition**: 0.0000 eV per atom

Cell: 3.6234 3.6234 13.7018 Å, 90.00 90.00 120.00°
Sites, in units of the cell vectors:
Ho 0.3333 0.6667 0.0000
Ho 0.6667 0.3333 0.5000
Hf 0.3333 0.6667 0.6811
Hf 0.6667 0.3333 0.1811
Te 0.3333 0.6667 0.3323
Te 0.6667 0.3333 0.8323
C 0.0000 0.0000 0.1029
C 0.0000 0.0000 0.6029

---

## HoHfTeC (PBE-GGA)

Data for a relaxed structure of HoHfTeC.

**Energy relative to the lowest polymorph listed for this composition**: 0.0158 eV per atom

Cell: 3.6359 3.6359 13.6934 Å, 90.00 90.00 120.00°
Sites, in units of the cell vectors:
Ho 0.3333 0.6667 0.0956
Ho 0.6667 0.3333 0.9044
Hf 0.3333 0.6667 0.4167
Hf 0.6667 0.3333 0.5833
Te 0.3333 0.6667 0.7333
Te 0.6667 0.3333 0.2667
C 0.0000 0.0000 0.0000
C 0.0000 0.0000 0.5000

---

## HoHf3Te2C2 (PBE-GGA)

Data for a relaxed structure of HoHf3Te2C2.

**VASP energy**: -65.935 eV for the cell shown

Cell: 3.5597 3.5597 13.4865 Å, 90.00 90.00 120.00°
Sites, in units of the cell vectors:
Ho 0.0000 0.0000 0.0000
Hf 0.0000 0.0000 0.6722
Hf 0.6667 0.3333 0.1848
Hf 0.6667 0.3333 0.5015
Te 0.0000 0.0000 0.3442
Te 0.6667 0.3333 0.8263
C 0.3333 0.6667 0.1051
C 0.3333 0.6667 0.5866

---

## HoHfTeC (PBE-GGA)

Data for a relaxed structure of HoHfTeC.

**Energy relative to the lowest polymorph listed for this composition**: 0.0150 eV per atom

Cell: 3.6177 3.6177 13.7414 Å, 90.00 90.00 120.00°
Sites, in units of the cell vectors:
Ho 0.0000 0.0000 0.1648
Ho 0.0000 0.0000 0.8352
Hf 0.6667 0.3333 0.3453
Hf 0.6667 0.3333 0.6547
Te 0.0000 0.0000 0.5000
Te 0.6667 0.3333 0.0000
C 0.3333 0.6667 0.2691
C 0.3333 0.6667 0.7309

---

## HfIn2C (PBE-GGA)

Data for a relaxed structure of HfIn2C.

**VASP energy**: -42.929 eV for the cell shown

Cell: 3.2981 3.2981 15.9161 Å, 90.00 90.00 120.00°
Sites, in units of the cell vectors:
Hf 0.3333 0.6667 0.2500
Hf 0.6667 0.3333 0.7500
In 0.3333 0.6667 0.5892
In 0.3333 0.6667 0.9108
In 0.6667 0.3333 0.0892
In 0.6667 0.3333 0.4108
C 0.0000 0.0000 0.0000
C 0.0000 0.0000 0.5000